1.
# OsAu2Se, optimized geometry, DFT GGA-PBEsol
data_OsAu2Se
_symmetry_space_group_name_H-M 'P 1'
_symmetry_Int_Tables_number 1
_cell_length_a 2.938
_cell_length_b 2.938
_cell_length_c 7.996
_cell_angle_alpha 90.00
_cell_angle_beta 90.00
_cell_angle_gamma 90.00
loop_
_symmetry_equiv_pos_as_xyz
'x,y,z'
loop_
_atom_site_label
_atom_site_fract_x
_atom_site_fract_y
_atom_site_fract_z
_atom_site_occupancy
Os1 0.000 0.000 0.000 1
Au1 0.000 0.000 0.506 1
Au2 0.500 0.500 0.751 1
Se1 0.500 0.500 0.172 1
# uncorrected energy = -5.678 eV/atom
# magnetic moment = 0.00 μB per formula unit
# energy relative to the elements, uncorrected = 0.300 eV per atom

=====

2.
# SiOsAu2, optimized geometry, DFT GGA-PBEsol
data_SiOsAu2
_symmetry_space_group_name_H-M 'P 1'
_symmetry_Int_Tables_number 1
_cell_length_a 8.799
_cell_length_b 8.799
_cell_length_c 8.799
_cell_angle_alpha 18.71
_cell_angle_beta 18.71
_cell_angle_gamma 18.71
loop_
_symmetry_equiv_pos_as_xyz
'x,y,z'
loop_
_atom_site_label
_atom_site_fract_x
_atom_site_fract_y
_atom_site_fract_z
_atom_site_occupancy
Si1 0.000 0.000 0.000 1
Os1 0.500 0.500 0.500 1
Au1 0.255 0.255 0.255 1
Au2 0.745 0.745 0.745 1
# uncorrected energy = -6.019 eV/atom
# magnetic moment = 0.00 μB per formula unit
# energy relative to the elements, uncorrected = 0.434 eV per atom

=====

3.
# Si2OsAu, optimized geometry, DFT GGA-PBEsol
data_Si2OsAu
_symmetry_space_group_name_H-M 'P 1'
_symmetry_Int_Tables_number 1
_cell_length_a 4.534
_cell_length_b 4.534
_cell_length_c 4.534
_cell_angle_alpha 127.83
_cell_angle_beta 127.83
_cell_angle_gamma 76.91
loop_
_symmetry_equiv_pos_as_xyz
'x,y,z'
loop_
_atom_site_label
_atom_site_fract_x
_atom_site_fract_y
_atom_site_fract_z
_atom_site_occupancy
Si1 0.250 0.750 0.500 1
Si2 0.750 0.250 0.500 1
Os1 0.000 0.000 0.000 1
Au1 0.500 0.500 0.000 1
# uncorrected energy = -6.704 eV/atom
# magnetic moment = 0.00 μB per formula unit
# energy relative to the elements, uncorrected = 0.204 eV per atom

=====

4.
# SiOsAu2, optimized geometry, DFT GGA-PBEsol
data_SiOsAu2
_symmetry_space_group_name_H-M 'P 1'
_symmetry_Int_Tables_number 1
_cell_length_a 2.822
_cell_length_b 2.822
_cell_length_c 8.830
_cell_angle_alpha 90.00
_cell_angle_beta 90.00
_cell_angle_gamma 117.57
loop_
_symmetry_equiv_pos_as_xyz
'x,y,z'
loop_
_atom_site_label
_atom_site_fract_x
_atom_site_fract_y
_atom_site_fract_z
_atom_site_occupancy
Si1 0.000 0.000 0.000 1
Os1 0.500 0.500 0.797 1
Au1 0.000 0.000 0.520 1
Au2 0.500 0.500 0.242 1
# uncorrected energy = -6.196 eV/atom
# magnetic moment = 0.00 μB per formula unit
# energy relative to the elements, uncorrected = 0.257 eV per atom

=====

5.
# Si4OsAu, optimized geometry, DFT GGA-PBEsol
data_Si4OsAu
_symmetry_space_group_name_H-M 'P 1'
_symmetry_Int_Tables_number 1
_cell_length_a 4.935
_cell_length_b 4.935
_cell_length_c 4.935
_cell_angle_alpha 60.00
_cell_angle_beta 60.00
_cell_angle_gamma 60.00
loop_
_symmetry_equiv_pos_as_xyz
'x,y,z'
loop_
_atom_site_label
_atom_site_fract_x
_atom_site_fract_y
_atom_site_fract_z
_atom_site_occupancy
Si1 0.124 0.124 0.124 1
Si2 0.124 0.124 0.627 1
Si3 0.124 0.627 0.124 1
Si4 0.627 0.124 0.124 1
Os1 0.750 0.750 0.750 1
Au1 0.500 0.500 0.500 1
# uncorrected energy = -5.918 eV/atom
# magnetic moment = 0.00 μB per formula unit
# energy relative to the elements, uncorrected = 0.603 eV per atom

=====

6.
# Si2OsAu, optimized geometry, DFT GGA-PBEsol
data_Si2OsAu
_symmetry_space_group_name_H-M 'P 1'
_symmetry_Int_Tables_number 1
_cell_length_a 4.890
_cell_length_b 4.890
_cell_length_c 3.047
_cell_angle_alpha 101.22
_cell_angle_beta 101.22
_cell_angle_gamma 112.22
loop_
_symmetry_equiv_pos_as_xyz
'x,y,z'
loop_
_atom_site_label
_atom_site_fract_x
_atom_site_fract_y
_atom_site_fract_z
_atom_site_occupancy
Si1 0.000 0.500 0.000 1
Si2 0.500 0.000 0.000 1
Os1 0.000 0.000 0.000 1
Au1 0.500 0.500 0.000 1
# uncorrected energy = -6.602 eV/atom
# magnetic moment = 0.00 μB per formula unit
# energy relative to the elements, uncorrected = 0.307 eV per atom

=====

7.
# Si2OsAu, optimized geometry, DFT GGA-PBEsol
data_Si2OsAu
_symmetry_space_group_name_H-M 'P 1'
_symmetry_Int_Tables_number 1
_cell_length_a 3.079
_cell_length_b 3.665
_cell_length_c 5.067
_cell_angle_alpha 90.00
_cell_angle_beta 90.00
_cell_angle_gamma 90.00
loop_
_symmetry_equiv_pos_as_xyz
'x,y,z'
loop_
_atom_site_label
_atom_site_fract_x
_atom_site_fract_y
_atom_site_fract_z
_atom_site_occupancy
Si1 0.000 0.000 0.000 1
Si2 0.500 0.500 0.318 1
Os1 0.500 0.500 0.846 1
Au1 0.000 0.000 0.494 1
# uncorrected energy = -7.014 eV/atom
# magnetic moment = 0.00 μB per formula unit
# energy relative to the elements, uncorrected = -0.105 eV per atom

=====

8.
# SiOsAu2, optimized geometry, DFT GGA-PBEsol
data_SiOsAu2
_symmetry_space_group_name_H-M 'P 1'
_symmetry_Int_Tables_number 1
_cell_length_a 3.828
_cell_length_b 3.828
_cell_length_c 4.115
_cell_angle_alpha 90.00
_cell_angle_beta 90.00
_cell_angle_gamma 90.00
loop_
_symmetry_equiv_pos_as_xyz
'x,y,z'
loop_
_atom_site_label
_atom_site_fract_x
_atom_site_fract_y
_atom_site_fract_z
_atom_site_occupancy
Si1 0.000 0.000 0.000 1
Os1 0.500 0.500 0.000 1
Au1 0.000 0.500 0.500 1
Au2 0.500 0.000 0.500 1
# uncorrected energy = -6.121 eV/atom
# magnetic moment = 0.00 μB per formula unit
# energy relative to the elements, uncorrected = 0.331 eV per atom